{
  "formula": "Nd2RuPbO8",
  "functional": "PBE",
  "state": "optimized geometry",
  "e_form_raw_ev_per_atom": -1.81,
  "volume_a3_per_atom": 14.46,
  "magnetic_moment_mub_per_cell": 0.00,
  "lattice_angstrom": [[4.8683, 0.0000, 0.0000], [-0.2020, 5.0357, 0.0000], [-0.1093, -0.0638, 7.0791]],
  "species": ["Nd", "Nd", "Ru", "Pb", "O", "O", "O", "O", "O", "O", "O", "O"],
  "frac_coords": [[0.0653, 0.0515, 0.2535], [0.9347, 0.9485, 0.7465], [0.5000, 0.5000, 0.5000], [0.5000, 0.5000, 0.0000], [0.1907, 0.1966, 0.9649], [0.2267, 0.2501, 0.5440], [0.2862, 0.6411, 0.2813], [0.3642, 0.7264, 0.7140], [0.6358, 0.2736, 0.2860], [0.7138, 0.3589, 0.7187], [0.7733, 0.7499, 0.4560], [0.8093, 0.8034, 0.0351]]
}